Computed, not measured: a relaxed structure of LiZnSe3 at the PBE-GGA level of DFT.

Values from the calculation:
Calculated volume = 20.97 A^3/atom
E_tot = -2.409 eV per atom
Space group = Pm-3m (221)
Energy relative to the elements, uncorrected = 0.32 eV/atom
M_tot = 0.0000 μB per atom

Cell: 4.715 4.715 4.715 Å, 90.00 90.00 90.00°
Fractional positions:
Li  0.000  0.000  0.000
Zn  0.500  0.500  0.500
Se  0.000  0.000  0.500
Se  0.000  0.500  0.000
Se  0.500  0.000  0.000



Computed, not measured: a relaxed structure of Ta2TlRe at the PBE-GGA level of DFT.

Values from the calculation:
Calculated volume = 18.75 A^3/atom
E_tot = -9.288 eV per atom
Space group = Cmm2 (35)
M_tot = 0.0000 μB per atom
Calculated formation energy = 0.342 eV/atom

Cell: 2.938 2.938 9.440 Å, 90.00 90.00 112.96°
Fractional positions:
Ta  0.000  0.000  0.000
Ta  0.500  0.500  0.244
Tl  0.500  0.500  0.727
Re  0.000  0.000  0.464



Computed, not measured: a relaxed structure of NdGdDyY at the PBE-GGA level of DFT.

Values from the calculation:
Calculated volume = 33.19 A^3/atom
E_tot = -7.369 eV per atom
Space group = F-43m (216)
M_tot = 1.9950 μB per atom
Calculated formation energy = 0.110 eV/atom

Cell: 5.726 5.726 5.726 Å, 60.00 60.00 60.00°
Fractional positions:
Nd  0.000  0.000  0.000
Gd  0.500  0.500  0.500
Dy  0.750  0.750  0.750
Y  0.250  0.250  0.250



Computed, not measured: a relaxed structure of TeP2Os at the PBE-GGA level of DFT.

Values from the calculation:
Calculated volume = 16.26 A^3/atom
E_tot = -5.400 eV per atom
Space group = P4/mmm (123)
Energy relative to the elements, uncorrected = 0.90 eV/atom
M_tot = 0.0000 μB per atom

Cell: 4.593 4.593 3.084 Å, 90.00 90.00 90.00°
Fractional positions:
Te  0.000  0.000  0.000
P  0.000  0.500  0.500
P  0.500  0.000  0.500
Os  0.500  0.500  0.000



Computed, not measured: a relaxed structure of KTaBr2 at the PBE-GGA level of DFT.

Values from the calculation:
Calculated volume = 32.97 A^3/atom
E_tot = -3.838 eV per atom
Space group = Pmmm (47)
Energy relative to the elements, uncorrected = 0.24 eV/atom
M_tot = 0.7658 μB per atom

Cell: 3.457 4.772 7.993 Å, 90.00 90.00 90.00°
Fractional positions:
K  0.000  0.000  0.000
Ta  0.500  0.000  0.500
Br  0.000  0.500  0.500
Br  0.500  0.500  0.000



Computed, not measured: a relaxed structure of LaPmAs2 at the PBE-GGA level of DFT.

Values from the calculation:
Calculated volume = 25.05 A^3/atom
E_tot = -5.875 eV per atom
Space group = P4/mmm (123)
M_tot = 0.0000 μB per atom
Calculated formation energy = -1.131 eV/atom

Cell: 5.424 5.424 3.406 Å, 90.00 90.00 90.00°
Fractional positions:
La  0.000  0.000  0.000
Pm  0.500  0.500  0.000
As  0.000  0.500  0.500
As  0.500  0.000  0.500



Computed, not measured: a relaxed structure of Cs2BeSiPd at the PBE-GGA level of DFT.

Values from the calculation:
Calculated volume = 43.81 A^3/atom
E_tot = -2.608 eV per atom
Space group = P4/mmm (123)
Energy relative to the elements, uncorrected = 0.60 eV/atom
M_tot = 0.0523 μB per atom

Cell: 6.904 6.904 4.596 Å, 90.00 90.00 90.00°
Fractional positions:
Cs  0.000  0.500  0.000
Cs  0.500  0.000  0.000
Be  0.000  0.000  0.500
Si  0.500  0.500  0.500
Pd  0.500  0.500  0.000



Computed, not measured: a relaxed structure of LiPd7Au4 at the PBE-GGA level of DFT.

Values from the calculation:
Calculated volume = 17.23 A^3/atom
E_tot = -4.260 eV per atom
Space group = C2/m (12)
M_tot = 0.0000 μB per atom
Calculated formation energy = 0.021 eV/atom

Cell: 5.465 5.465 10.110 Å, 115.69 115.69 51.36°
Fractional positions:
Li  0.000  0.000  0.000
Pd  0.118  0.118  0.465
Pd  0.276  0.276  0.079
Pd  0.344  0.344  0.381
Pd  0.500  0.500  0.000
Pd  0.656  0.656  0.619
Pd  0.724  0.724  0.921
Pd  0.882  0.882  0.535
Au  0.177  0.177  0.774
Au  0.419  0.419  0.698
Au  0.581  0.581  0.302
Au  0.823  0.823  0.226



Computed, not measured: a relaxed structure of LiAg2SbBr6 at the PBE-GGA level of DFT.

Values from the calculation:
Calculated volume = 28.79 A^3/atom
E_tot = -2.826 eV per atom
Space group = P1 (1)
Energy relative to the elements, uncorrected = -0.65 eV/atom
M_tot = 0.0000 μB per atom

Cell: 7.175 7.177 7.667 Å, 90.03 117.87 119.97°
Fractional positions:
Li  0.000  0.000  0.000
Ag  0.404  0.202  0.605
Ag  0.413  0.707  0.118
Sb  0.018  0.509  0.527
Br  0.178  0.779  0.291
Br  0.187  0.907  0.798
Br  0.513  0.399  0.290
Br  0.519  0.612  0.799
Br  0.892  0.280  0.799
Br  0.893  0.114  0.290



Computed, not measured: a relaxed structure of MnRuBr4 at the PBE-GGA level of DFT.

Values from the calculation:
Calculated volume = 27.28 A^3/atom
E_tot = -2.840 eV per atom
Space group = F-43m (216)
Energy relative to the elements, uncorrected = 1.35 eV/atom
M_tot = 1.1718 μB per atom

Cell: 6.140 6.140 6.140 Å, 60.00 60.00 60.00°
Fractional positions:
Mn  0.000  0.000  0.000
Ru  0.750  0.750  0.750
Br  0.375  0.375  0.375
Br  0.375  0.375  0.874
Br  0.375  0.874  0.375
Br  0.874  0.375  0.375



Computed, not measured: a relaxed structure of Rb2Ge2I7 at the PBE-GGA level of DFT.

Values from the calculation:
Calculated volume = 56.04 A^3/atom
E_tot = -2.686 eV per atom
Space group = C2/m (12)
Energy relative to the elements, uncorrected = -0.68 eV/atom
M_tot = 0.0000 μB per atom

Cell: 9.498 9.498 7.058 Å, 98.46 98.46 96.84°
Fractional positions:
Rb  0.217  0.783  0.000
Rb  0.783  0.217  0.000
Ge  0.282  0.282  0.577
Ge  0.718  0.718  0.423
I  0.095  0.402  0.792
I  0.106  0.106  0.273
I  0.402  0.095  0.792
I  0.500  0.500  0.500
I  0.598  0.905  0.208
I  0.894  0.894  0.727
I  0.905  0.598  0.208



Computed, not measured: a relaxed structure of La6CuBr8 at the PBE-GGA level of DFT.

Values from the calculation:
Calculated volume = 34.85 A^3/atom
E_tot = -4.588 eV per atom
Space group = R-3 (148)
Energy relative to the elements, uncorrected = -1.45 eV/atom
M_tot = 0.0000 μB per atom

Cell: 11.760 11.760 11.760 Å, 36.80 36.80 36.80°
Fractional positions:
La  0.053  0.372  0.734
La  0.266  0.947  0.628
La  0.372  0.734  0.053
La  0.628  0.266  0.947
La  0.734  0.053  0.372
La  0.947  0.628  0.266
Cu  0.000  0.000  0.000
Br  0.109  0.771  0.446
Br  0.229  0.554  0.891
Br  0.333  0.333  0.333
Br  0.446  0.109  0.771
Br  0.554  0.891  0.229
Br  0.667  0.667  0.667
Br  0.771  0.446  0.109
Br  0.891  0.229  0.554